CuTe2S | PBE | relaxed

* M_tot: 0.0 μB/cell
* formation energy without anion corrections: 0.517 eV/atom

extended XYZ file:
```
16
Lattice="6.922 0.000 0.000 0.000 6.922 0.000 0.000 0.000 6.922" Properties=species:S:1:pos:R:3 pbc="T T T"
Cu 0.000 0.000 0.000
Cu 0.000 3.461 3.461
Cu 3.461 0.000 3.461
Cu 3.461 3.461 0.000
Te 1.730 1.730 1.730
Te 1.730 1.730 5.191
Te 1.730 5.191 1.730
Te 1.730 5.191 5.191
Te 5.191 1.730 1.730
Te 5.191 1.730 5.191
Te 5.191 5.191 1.730
Te 5.191 5.191 5.191
S 0.000 0.000 3.461
S 0.000 3.461 0.000
S 3.461 0.000 0.000
S 3.461 3.461 3.461
```



Cu3Te2S | PBE | relaxed

* M_tot: 0.0 μB/cell
* formation energy without anion corrections: -0.020 eV/atom

extended XYZ file:
```
12
Lattice="5.864 -3.657 0.000 5.864 3.657 0.000 0.000 0.000 5.356" Properties=species:S:1:pos:R:3 pbc="T T T"
Cu 5.864 3.246 2.678
Cu 4.177 0.088 0.531
Cu 4.177 -0.088 3.209
Cu 7.551 0.088 0.531
Cu 7.551 -0.088 3.209
Cu 5.864 -3.246 0.000
Te 1.976 1.156 1.767
Te 1.976 -1.156 4.445
Te 9.752 1.156 1.767
Te 9.752 -1.156 4.445
S 5.864 1.049 1.948
S 5.864 -1.049 4.627
```



CuTeS3 | PBE | relaxed

* M_tot: 0.0 μB/cell
* formation energy without anion corrections: 0.035 eV/atom

extended XYZ file:
```
10
Lattice="4.654 0.000 0.000 1.311 6.520 0.000 0.813 1.366 7.736" Properties=species:S:1:pos:R:3 pbc="T T T"
Cu 0.000 0.000 0.000
Cu 2.130 4.760 1.593
Te 1.030 1.580 3.375
Te 1.903 4.550 5.956
S 1.781 0.327 1.438
S 2.675 3.361 3.197
S 3.826 6.932 5.225
S 5.073 5.719 4.109
S 4.914 2.768 6.135
S 4.998 4.436 0.160
```



Cu3TeS | PBE | relaxed

* M_tot: 0.0 μB/cell
* formation energy without anion corrections: 0.001 eV/atom

extended XYZ file:
```
10
Lattice="3.845 0.000 0.000 0.000 8.374 2.769 0.000 -8.374 2.769" Properties=species:S:1:pos:R:3 pbc="T T T"
Cu 0.961 -7.511 2.769
Cu 0.961 -0.964 3.591
Cu 0.961 5.329 2.612
Cu 2.883 -5.329 2.612
Cu 2.883 0.964 3.591
Cu 2.883 7.511 2.769
Te 0.961 2.946 3.637
Te 2.883 -2.946 3.637
S 0.961 -1.358 1.289
S 2.883 1.358 1.289
```



CuTeS2 | PBE | relaxed

* M_tot: 0.0 μB/cell
* formation energy without anion corrections: 0.160 eV/atom

extended XYZ file:
```
12
Lattice="4.408 0.000 0.000 -2.204 3.817 0.000 0.000 0.000 19.842" Properties=species:S:1:pos:R:3 pbc="T T T"
Cu 0.000 0.000 0.000
Cu 0.000 2.545 13.228
Cu 2.204 1.272 6.614
Te 0.000 0.000 9.921
Te 0.000 2.545 3.307
Te 2.204 1.272 16.535
S 0.000 0.000 2.123
S 0.000 0.000 17.719
S 0.000 2.545 11.105
S 0.000 2.545 15.351
S 2.204 1.272 4.491
S 2.204 1.272 8.737
```



CuTe3S | PBE | relaxed

* M_tot: 0.0 μB/cell
* formation energy without anion corrections: 0.670 eV/atom

extended XYZ file:
```
5
Lattice="5.063 0.000 0.000 0.000 5.063 0.000 0.000 0.000 5.063" Properties=species:S:1:pos:R:3 pbc="T T T"
Cu 0.000 0.000 0.000
Te 0.000 0.000 2.531
Te 0.000 2.531 0.000
Te 2.531 0.000 0.000
S 2.531 2.531 2.531
```



Cu3TeS | PBE | relaxed

* M_tot: 0.0 μB/cell
* formation energy without anion corrections: -0.065 eV/atom

extended XYZ file:
```
10
Lattice="5.360 0.000 0.000 0.000 4.096 0.000 -0.608 0.000 9.380" Properties=species:S:1:pos:R:3 pbc="T T T"
Cu 0.127 1.024 3.009
Cu 1.593 3.072 1.859
Cu 1.873 3.072 6.773
Cu 2.880 1.024 2.606
Cu 3.159 1.024 7.520
Cu 4.626 3.072 6.371
Te 0.837 1.024 5.615
Te 3.916 3.072 3.765
S 1.266 1.024 1.046
S 3.486 3.072 8.333
```



CuTeS3 | PBE | relaxed

* M_tot: 0.0 μB/cell
* formation energy without anion corrections: 0.486 eV/atom

extended XYZ file:
```
5
Lattice="4.524 0.000 0.000 0.000 4.524 0.000 0.000 0.000 4.524" Properties=species:S:1:pos:R:3 pbc="T T T"
Cu 0.000 0.000 0.000
Te 2.262 2.262 2.262
S 0.000 0.000 2.262
S 0.000 2.262 0.000
S 2.262 0.000 0.000
```



> What is the formula in the fourth record?

Cu3TeS



What did the sixth record say?
CuTe3S | PBE | relaxed

* M_tot: 0.0 μB/cell
* formation energy without anion corrections: 0.670 eV/atom

extended XYZ file:
```
5
Lattice="5.063 0.000 0.000 0.000 5.063 0.000 0.000 0.000 5.063" Properties=species:S:1:pos:R:3 pbc="T T T"
Cu 0.000 0.000 0.000
Te 0.000 0.000 2.531
Te 0.000 2.531 0.000
Te 2.531 0.000 0.000
S 2.531 2.531 2.531
```



> Which of these has the highest formation energy without anion corrections?

CuTe3S